## BaCd2Bi2 (GGA-PBE)

Data for BaCd2Bi2 after structural relaxation.

The structure in extended XYZ format:
```
5
Lattice="0.591 4.649 2.275 -3.042 -1.541 3.939 6.066 -3.606 -0.171" Properties=species:S:1:pos:R:3 pbc="T T T"
Bi 2.716 1.299 2.606
Bi 0.899 -1.797 3.437
Cd -0.124 1.087 3.775
Cd 3.739 -1.585 2.268
Ba 0.000 0.000 0.000
```

Total energy, eV for the cell shown: -13.88

## CsYCo (GGA-PBE)

Data for CsYCo after structural relaxation.

The structure in extended XYZ format:
```
3
Lattice="0.000 3.454 3.454 3.454 0.000 3.454 3.454 3.454 0.000" Properties=species:S:1:pos:R:3 pbc="T T T"
Cs 0.000 0.000 0.000
Y 5.180 5.180 5.180
Co 1.727 1.727 1.727
```

Total energy, eV for the cell shown: -9.44
Total magnetization, Bohr magnetons per cell: 0.9

## Ta3GaCN (GGA-PBE)

Data for Ta3GaCN after structural relaxation.

The structure in extended XYZ format:
```
12
Lattice="3.103 0.000 0.000 -1.552 2.687 0.000 0.000 0.000 18.874" Properties=species:S:1:pos:R:3 pbc="T T T"
Ga 0.000 0.000 14.128
Ga 0.000 0.000 4.746
N 1.552 0.896 10.698
N 0.000 1.792 8.176
Ta 0.000 0.000 9.437
Ta 1.552 0.896 2.568
Ta 0.000 1.792 11.949
Ta 0.000 1.792 16.306
Ta 0.000 0.000 0.000
Ta 1.552 0.896 6.925
C 1.552 0.896 17.562
C 0.000 1.792 1.312
```

Total energy, eV for the cell shown: -119.60
Total magnetization, Bohr magnetons per cell: 0.0

## Zr2I (GGA-PBE)

Data for Zr2I after structural relaxation.

The structure in extended XYZ format:
```
6
Lattice="4.619 2.667 7.542 -4.619 2.667 7.542 0.000 -5.333 7.542" Properties=species:S:1:pos:R:3 pbc="T T T"
Zr 0.000 0.000 8.485
Zr -2.309 1.333 12.256
Zr 0.000 -2.667 12.256
Zr 2.309 1.333 12.256
I 0.000 0.000 11.313
I 0.000 0.000 5.657
```

Total energy, eV for the cell shown: -22.94
Energy relative to the lowest polymorph listed for this composition, eV per formula unit: 5.67
Total magnetization, Bohr magnetons per cell: 13.9

Number 1 is which compound? BaCd2Bi2